[1]
{
  "formula": "BaCoSCl2",
  "functional": "GGA-PBEsol",
  "state": "relaxed",
  "spacegroup": "P4/mmm",
  "dos_ef_per_ev_fu": 3.02,
  "dft_energy_ev_per_atom": -4.93,
  "m_tot_mub_per_cell": 2.1,
  "lattice": [[4.793, 0.000, 0.000], [0.000, 4.793, 0.000], [0.000, 0.000, 4.524]],
  "species": ["Ba", "Co", "S", "Cl", "Cl"],
  "frac_coords": [[0.000, 0.000, 0.000], [0.500, 0.500, 0.500], [0.500, 0.500, 0.000], [0.000, 0.500, 0.500], [0.500, 0.000, 0.500]]
}



[2]
{
  "formula": "Ba2ZrCoCl",
  "functional": "GGA-PBEsol",
  "state": "relaxed",
  "spacegroup": "P4/mmm",
  "dos_ef_per_ev_fu": 6.30,
  "dft_energy_ev_per_atom": -4.73,
  "m_tot_mub_per_cell": 0.0,
  "lattice": [[6.169, 0.000, 0.000], [0.000, 6.169, 0.000], [0.000, 0.000, 4.498]],
  "species": ["Ba", "Ba", "Zr", "Co", "Cl"],
  "frac_coords": [[0.000, 0.500, 0.000], [0.500, 0.000, 0.000], [0.000, 0.000, 0.500], [0.000, 0.000, 0.000], [0.500, 0.500, 0.500]]
}



What did the first record say?
{
  "formula": "BaCoSCl2",
  "functional": "GGA-PBEsol",
  "state": "relaxed",
  "spacegroup": "P4/mmm",
  "dos_ef_per_ev_fu": 3.02,
  "dft_energy_ev_per_atom": -4.93,
  "m_tot_mub_per_cell": 2.1,
  "lattice": [[4.793, 0.000, 0.000], [0.000, 4.793, 0.000], [0.000, 0.000, 4.524]],
  "species": ["Ba", "Co", "S", "Cl", "Cl"],
  "frac_coords": [[0.000, 0.000, 0.000], [0.500, 0.500, 0.500], [0.500, 0.500, 0.000], [0.000, 0.500, 0.500], [0.500, 0.000, 0.500]]
}